Density functional theory data (PBE) for LaZn10Cu2 after structural relaxation.

a = 4.997 Å, b = 6.894 Å, c = 6.910 Å
α = 82.47°, β = 68.80°, γ = 68.75°
Positions (direct):
1 Zn 0.494 0.230 0.782
2 Zn 0.506 0.770 0.218
3 Zn 0.992 0.363 0.654
4 Zn 0.276 0.230 0.218
5 Zn 0.500 0.000 0.500
6 Zn 0.008 0.637 0.346
7 Zn 0.000 0.000 0.500
8 Zn 0.646 0.363 0.346
9 Zn 0.724 0.770 0.782
10 Zn 0.354 0.637 0.654
11 Cu 0.500 0.500 0.000
12 Cu 0.000 0.500 0.000
13 La 0.000 0.000 0.000

Summary:
SG: Fmmm
Total DFT energy (no corrections): -2.1830 eV/atom
DOS(E_F): 3.8 states/eV/f.u.
Total moment: 0.00 μB per cell

***

Density functional theory data (PBE) for LiY2Pt2 after structural relaxation.

a = 8.152 Å, b = 8.152 Å, c = 3.385 Å
α = 90.00°, β = 90.00°, γ = 90.00°
Positions (direct):
1 Y 0.151 0.349 0.000
2 Y 0.349 0.849 0.000
3 Y 0.651 0.151 0.000
4 Y 0.849 0.651 0.000
5 Pt 0.357 0.143 0.500
6 Pt 0.143 0.643 0.500
7 Pt 0.857 0.357 0.500
8 Pt 0.643 0.857 0.500
9 Li 0.000 0.000 0.000
10 Li 0.500 0.500 0.000

Summary:
SG: P4/mbm
Excess energy over the best structure of this formula in the dataset: 18.2 kJ per mole of atoms
DOS(E_F): 3.1 states/eV/f.u.
Total moment: 0.00 μB per cell

***

Density functional theory data (PBE) for YBS2 after structural relaxation.

a = 7.267 Å, b = 7.267 Å, c = 7.267 Å
α = 30.04°, β = 30.04°, γ = 30.04°
Positions (direct):
1 S 0.083 0.083 0.083
2 S 0.917 0.917 0.917
3 Y 0.500 0.500 0.500
4 B 0.000 0.000 0.000

Summary:
E_form (uncorrected): -0.54 eV/atom
SG: R-3m
DOS(E_F): 0.0 states/eV/f.u.
Total moment: 0.00 μB per cell

***

Density functional theory data (PBE) for Be5Te after structural relaxation.

a = 2.743 Å, b = 2.743 Å, c = 11.639 Å
α = 90.00°, β = 90.00°, γ = 90.00°
Positions (direct):
1 Be 0.000 0.000 0.500
2 Be 0.000 0.000 0.694
3 Be 0.000 0.000 0.306
4 Be 0.500 0.500 0.396
5 Be 0.500 0.500 0.604
6 Te 0.500 0.500 0.000

Summary:
E_form (uncorrected): 0.52 eV/atom
SG: P4/mmm
Excess energy over the best structure of this formula in the dataset: 25.5 kJ per mole of atoms
DOS(E_F): 1.1 states/eV/f.u.
Total moment: 0.00 μB per cell

***

Density functional theory data (PBE) for FeSeBr2 after structural relaxation.

a = 3.407 Å, b = 5.856 Å, c = 6.660 Å
α = 75.09°, β = 90.00°, γ = 90.00°
Last column: magnetic moment on the atom in μB.
Positions (direct):
1 Fe 0.000 0.426 0.596  2.97
2 Br 0.000 0.059 0.843  0.15
3 Br 0.500 0.380 0.337  0.11
4 Se 0.500 0.635 0.724  0.03

Summary:
E_form (uncorrected): -0.20 eV/atom
SG: Pm
Excess energy over the best structure of this formula in the dataset: 0.0 kJ per mole of atoms
DOS(E_F): 3.2 states/eV/f.u.
Total moment: 3.53 μB per cell

***

Density functional theory data (PBE) for Li2CaC2 after structural relaxation.

a = 3.896 Å, b = 3.896 Å, c = 4.904 Å
α = 66.60°, β = 66.60°, γ = 90.00°
Positions (direct):
1 C 0.250 0.750 0.500
2 C 0.750 0.250 0.500
3 Ca 0.000 0.000 0.000
4 Li 0.337 0.337 0.325
5 Li 0.663 0.663 0.675

Summary:
SG: I4/mmm
Excess energy over the best structure of this formula in the dataset: 76.7 kJ per mole of atoms
DOS(E_F): 1.8 states/eV/f.u.
Total moment: 0.00 μB per cell

***

Density functional theory data (PBE) for MnCoTc2 after structural relaxation.

a = 2.620 Å, b = 2.620 Å, c = 7.394 Å
α = 90.00°, β = 90.00°, γ = 89.99°
Last column: magnetic moment on the atom in μB.
Positions (direct):
1 Tc 0.000 0.000 0.499  -0.16
2 Tc 0.000 0.000 0.001  -0.16
3 Mn 0.500 0.500 0.750  1.20
4 Co 0.500 0.500 0.250  -0.34

Summary:
SG: P4/mmm
Excess energy over the best structure of this formula in the dataset: 6.6 kJ per mole of atoms
DOS(E_F): 3.7 states/eV/f.u.
Total moment: 0.58 μB per cell

***

Density functional theory data (PBE) for Dy3Ho2Te6 after structural relaxation.

a = 4.355 Å, b = 4.355 Å, c = 21.586 Å
α = 84.21°, β = 84.21°, γ = 60.00°
Positions (direct):
1 Te 0.805 0.805 0.584
2 Te 0.639 0.639 0.082
3 Te 0.361 0.361 0.918
4 Te 0.195 0.195 0.416
5 Te 0.083 0.083 0.751
6 Te 0.917 0.917 0.249
7 Dy 0.000 0.000 0.000
8 Dy 0.721 0.721 0.837
9 Dy 0.279 0.279 0.163
10 Ho 0.553 0.553 0.341
11 Ho 0.447 0.447 0.659

Summary:
E_form (uncorrected): -1.30 eV/atom
SG: R-3m
Excess energy over the best structure of this formula in the dataset: 7.7 kJ per mole of atoms
DOS(E_F): 5.0 states/eV/f.u.
Total moment: 0.00 μB per cell

***

Density functional theory data (PBE) for La3ThZr2N6 after structural relaxation.

a = 6.084 Å, b = 6.084 Å, c = 6.261 Å
α = 99.34°, β = 99.34°, γ = 119.91°
Positions (direct):
1 N 0.422 0.072 0.214
2 N 0.928 0.578 0.786
3 N 0.578 0.928 0.786
4 N 0.072 0.422 0.214
5 N 0.281 0.281 0.790
6 N 0.719 0.719 0.210
7 La 0.500 0.500 0.500
8 La 0.168 0.832 0.500
9 La 0.832 0.168 0.500
10 Zr 0.666 0.334 0.000
11 Zr 0.334 0.666 0.000
12 Th 0.000 0.000 0.000

Summary:
E_form (uncorrected): -1.50 eV/atom
SG: C2/m
DOS(E_F): 3.6 states/eV/f.u.
Total moment: 0.00 μB per cell

***

Density functional theory data (PBE) for EuHoLuIn after structural relaxation.

a = 5.499 Å, b = 5.499 Å, c = 5.499 Å
α = 60.00°, β = 60.00°, γ = 60.00°
Last column: magnetic moment on the atom in μB.
Positions (direct):
1 Ho 0.500 0.500 0.500  0.11
2 In 0.250 0.250 0.250  -0.01
3 Eu 0.000 0.000 0.000  6.85
4 Lu 0.750 0.750 0.750  0.16

Summary:
SG: F-43m
Total DFT energy (no corrections): -5.6437 eV/atom
DOS(E_F): 4.2 states/eV/f.u.
Total moment: 7.47 μB per cell

***

Density functional theory data (PBE) for Ca3MgTl2 after structural relaxation.

a = 3.909 Å, b = 3.909 Å, c = 11.711 Å
α = 90.00°, β = 90.00°, γ = 90.00°
Positions (direct):
1 Ca 0.000 0.000 0.672
2 Ca 0.000 0.000 0.328
3 Ca 0.000 0.000 0.000
4 Tl 0.500 0.500 0.168
5 Tl 0.500 0.500 0.832
6 Mg 0.500 0.500 0.500

Summary:
SG: P4/mmm
Total DFT energy (no corrections): -2.3879 eV/atom
DOS(E_F): 3.8 states/eV/f.u.
Total moment: 0.00 μB per cell

***

Density functional theory data (PBE) for LiPtCl2 after structural relaxation.

a = 3.694 Å, b = 4.873 Å, c = 5.018 Å
α = 94.22°, β = 90.00°, γ = 90.00°
Last column: magnetic moment on the atom in μB.
Positions (direct):
1 Cl 0.000 0.510 0.508  0.10
2 Cl 0.000 0.990 0.992  0.10
3 Pt 0.500 0.750 0.750  0.65
4 Li 0.500 0.250 0.250  0.02

Summary:
E_form (uncorrected): -0.51 eV/atom
SG: P2/m
Excess energy over the best structure of this formula in the dataset: 20.4 kJ per mole of atoms
DOS(E_F): 0.5 states/eV/f.u.
Total moment: 0.98 μB per cell

***

Density functional theory data (PBE) for MnHg2HPd after structural relaxation.

a = 5.338 Å, b = 3.253 Å, c = 5.338 Å
α = 90.00°, β = 90.00°, γ = 90.00°
Last column: magnetic moment on the atom in μB.
Positions (direct):
1 Pd 0.000 0.000 0.000  -0.03
2 Mn 0.500 0.500 0.500  4.04
3 H 0.000 0.500 0.000  0.00
4 Hg 0.500 0.000 0.000  -0.03
5 Hg 0.000 0.000 0.500  -0.01

Summary:
SG: P4/mmm
Total DFT energy (no corrections): -3.3408 eV/atom
DOS(E_F): 2.5 states/eV/f.u.
Total moment: 4.14 μB per cell

***

Density functional theory data (PBE) for AlRe2PPd after structural relaxation.

a = 4.354 Å, b = 4.436 Å, c = 4.354 Å
α = 90.00°, β = 90.00°, γ = 90.00°
Positions (direct):
1 Al 0.000 0.500 0.000
2 Pd 0.500 0.500 0.500
3 Re 0.000 0.000 0.500
4 Re 0.500 0.000 0.000
5 P 0.000 0.000 0.000

Summary:
SG: P4/mmm
Total DFT energy (no corrections): -7.0521 eV/atom
DOS(E_F): 4.8 states/eV/f.u.
Total moment: 0.00 μB per cell

***

Density functional theory data (PBE) for FeAs3 after structural relaxation.

a = 5.886 Å, b = 5.901 Å, c = 7.608 Å
α = 90.00°, β = 90.00°, γ = 90.00°
Last column: magnetic moment on the atom in μB.
Positions (direct):
1 As 0.358 0.816 0.422  -0.02
2 As 0.126 0.962 0.750  -0.03
3 As 0.626 0.538 0.250  -0.03
4 As 0.142 0.316 0.078  -0.02
5 As 0.858 0.684 0.578  -0.02
6 As 0.142 0.316 0.422  -0.02
7 As 0.858 0.684 0.922  -0.02
8 As 0.374 0.462 0.750  -0.03
9 As 0.358 0.816 0.078  -0.02
10 As 0.642 0.184 0.922  -0.02
11 As 0.874 0.038 0.250  -0.03
12 As 0.642 0.184 0.578  -0.02
13 Fe 0.986 0.340 0.750  1.10
14 Fe 0.486 0.160 0.250  1.10
15 Fe 0.514 0.840 0.750  1.10
16 Fe 0.014 0.660 0.250  1.10

Summary:
SG: Pnma
Excess energy over the best structure of this formula in the dataset: 0.0 kJ per mole of atoms
DOS(E_F): 1.3 states/eV/f.u.
Total moment: 3.93 μB per cell

***

Density functional theory data (PBE) for PmY6Ho4 after structural relaxation.

a = 5.693 Å, b = 5.621 Å, c = 25.765 Å
α = 90.00°, β = 90.00°, γ = 120.43°
Positions (direct):
1 Y 0.182 0.363 0.602
2 Y 0.487 0.975 0.250
3 Y 0.500 0.000 0.500
4 Y 0.818 0.637 0.102
5 Y 0.500 0.000 0.000
6 Y 0.513 0.025 0.750
7 Y 0.152 0.303 0.319
8 Y 0.182 0.363 0.898
9 Y 0.848 0.697 0.819
10 Y 0.152 0.303 0.181
11 Y 0.848 0.697 0.681
12 Y 0.818 0.637 0.398
13 Ho 0.839 0.678 0.958
14 Ho 0.519 0.038 0.879
15 Ho 0.519 0.038 0.621
16 Ho 0.161 0.322 0.042
17 Ho 0.481 0.962 0.379
18 Ho 0.161 0.322 0.458
19 Ho 0.839 0.678 0.542
20 Ho 0.481 0.962 0.121
21 Pm 0.821 0.642 0.250
22 Pm 0.179 0.358 0.750

Summary:
SG: Cmcm
Excess energy over the best structure of this formula in the dataset: 0.0 kJ per mole of atoms
DOS(E_F): 20.3 states/eV/f.u.
Total moment: 0.00 μB per cell

***

Density functional theory data (PBE) for AlNi2Te after structural relaxation.

a = 4.147 Å, b = 4.147 Å, c = 8.438 Å
α = 75.77°, β = 75.77°, γ = 90.00°
Positions (direct):
1 Te 0.750 0.250 0.500
2 Te 0.000 0.000 0.000
3 Al 0.250 0.750 0.500
4 Al 0.500 0.500 0.000
5 Ni 0.875 0.855 0.750
6 Ni 0.145 0.625 0.250
7 Ni 0.605 0.125 0.250
8 Ni 0.375 0.395 0.750

Summary:
E_form (uncorrected): 0.02 eV/atom
SG: I-42d
Excess energy over the best structure of this formula in the dataset: 17.5 kJ per mole of atoms
DOS(E_F): 2.2 states/eV/f.u.
Total moment: 0.00 μB per cell

***

Density functional theory data (PBE) for NdDySi after structural relaxation.

a = 4.937 Å, b = 4.937 Å, c = 4.937 Å
α = 60.00°, β = 60.00°, γ = 60.00°
Positions (direct):
1 Si 0.250 0.250 0.250
2 Nd 0.500 0.500 0.500
3 Dy 0.000 0.000 0.000

Summary:
E_form (uncorrected): -0.45 eV/atom
SG: F-43m
Excess energy over the best structure of this formula in the dataset: 5.5 kJ per mole of atoms
DOS(E_F): 2.4 states/eV/f.u.
Total moment: 0.00 μB per cell

***

Density functional theory data (PBE) for TaTi2VNi after structural relaxation.

a = 4.399 Å, b = 4.348 Å, c = 4.399 Å
α = 90.00°, β = 90.00°, γ = 90.00°
Positions (direct):
1 V 0.000 0.000 0.000
2 Ti 0.500 0.000 0.000
3 Ti 0.000 0.000 0.500
4 Ta 0.500 0.500 0.500
5 Ni 0.000 0.500 0.000

Summary:
SG: P4/mmm
Total DFT energy (no corrections): -7.7229 eV/atom
DOS(E_F): 6.5 states/eV/f.u.
Total moment: 0.00 μB per cell

***

Density functional theory data (PBE) for Ac2SiRh2 after structural relaxation.

a = 5.945 Å, b = 5.945 Å, c = 7.859 Å
α = 77.94°, β = 77.94°, γ = 60.25°
Positions (direct):
1 Ac 0.783 0.519 0.350
2 Ac 0.481 0.217 0.150
3 Ac 0.217 0.481 0.650
4 Ac 0.519 0.783 0.850
5 Rh 0.995 0.249 0.994
6 Rh 0.751 0.005 0.506
7 Rh 0.249 0.995 0.494
8 Rh 0.005 0.751 0.006
9 Si 0.891 0.109 0.750
10 Si 0.109 0.891 0.250

Summary:
E_form (uncorrected): -0.76 eV/atom
SG: C2/c
DOS(E_F): 3.2 states/eV/f.u.
Total moment: 0.00 μB per cell

***

no.,density (Mg/m³)
1,7.4
2,8.5
3,3.2
4,3.3
5,3.8
6,2.1
7,10.1
8,7.5
9,8.0
10,8.6
11,5.1
12,5.0
13,10.1
14,10.6
15,7.1
16,6.3
17,6.6
18,6.5
19,7.6
20,9.8